The following is a DFT calculation (PBE) of Pm5CdSi2 after structural relaxation.

Cell: 4.2455 7.2507 15.3671 Å, 90.00 90.00 90.00°
With the nearest neighbours (Å) after each atom.
Fractional coordinates of all 16 atoms:
1 Pm 0.0000 0.0000 0.0000  2 Si 2.98
2 Pm 0.0000 0.2334 0.3550  3 Si 2.97-3.00
3 Pm 0.0000 0.2334 0.6450  3 Si 2.97-3.00
4 Pm 0.0000 0.7666 0.3550  3 Si 2.97-3.00
5 Pm 0.0000 0.7666 0.6450  3 Si 2.97-3.00
6 Pm 0.5000 0.2666 0.1450  3 Si 2.97-3.00
7 Pm 0.5000 0.2666 0.8550  3 Si 2.97-3.00
8 Pm 0.5000 0.5000 0.5000  2 Si 2.98
9 Pm 0.5000 0.7334 0.1450  3 Si 2.97-3.00
10 Pm 0.5000 0.7334 0.8550  3 Si 2.97-3.00
11 Cd 0.0000 0.5000 0.0000  10 Pm 3.51-3.63
12 Cd 0.5000 0.0000 0.5000  10 Pm 3.51-3.63
13 Si 0.0000 0.0000 0.1938  7 Pm 2.97-3.00
14 Si 0.0000 0.0000 0.8062  7 Pm 2.97-3.00
15 Si 0.5000 0.5000 0.3062  7 Pm 2.97-3.00
16 Si 0.5000 0.5000 0.6938  7 Pm 2.97-3.00

formation energy (no corrections)	-0.376	eV/atom
uncorrected energy	-4.816	eV per atom
space-group type	No. 71
distance to the lowest polymorph of the same formula	101	meV per atom